1.
A relaxed structure of ThPt3, computed with PBEsol.

```
8
Lattice="5.8512 0.0000 0.0000 -2.9256 5.0673 0.0000 0.0000 0.0000 4.9366" Properties=species:S:1:pos:R:3 pbc="T T T"
Th 0.0000 3.3782 1.2341
Th 2.9256 1.6891 3.7024
Pt 0.0000 1.6205 3.7024
Pt -1.5222 4.2570 3.7024
Pt 1.4034 0.8103 1.2341
Pt 1.5222 4.2570 3.7024
Pt 4.4477 0.8103 1.2341
Pt 2.9256 3.4467 1.2341
```

Computed properties:
* magnetization: 0.000 μB per atom
* E_form: -1.06 eV/atom
* energy: -8.31 eV per atom



2.
A relaxed structure of ThPt3, computed with PBEsol.

```
4
Lattice="4.1762 0.0000 0.0000 0.0000 4.1762 0.0000 0.0000 0.0000 4.1762" Properties=species:S:1:pos:R:3 pbc="T T T"
Th 0.0000 0.0000 0.0000
Pt 0.0000 2.0881 2.0881
Pt 2.0881 0.0000 2.0881
Pt 2.0881 2.0881 0.0000
```

Computed properties:
* magnetization: 0.000 μB per atom
* E_form: -1.05 eV/atom
* energy: -8.30 eV per atom



3.
A relaxed structure of TiPt8, computed with PBEsol.

```
9
Lattice="-4.1475 4.1475 1.9424 4.1475 -4.1475 1.9424 4.1475 4.1475 -1.9424" Properties=species:S:1:pos:R:3 pbc="T T T"
Ti 0.0000 0.0000 0.0000
Pt 2.7327 0.0000 0.0000
Pt 5.5624 0.0000 0.0000
Pt 0.0000 2.7327 0.0000
Pt 2.8029 2.8029 0.0000
Pt 1.3447 -1.3447 1.9424
Pt -1.3447 1.3447 1.9424
Pt 1.3447 1.3447 1.9424
Pt 0.0000 5.5624 0.0000
```

Computed properties:
* magnetization: 0.000 μB per atom
* E_form: -0.46 eV/atom
* energy: -7.57 eV per atom



4.
A relaxed structure of TiPt, computed with PBEsol.

```
12
Lattice="13.6245 0.0000 0.0000 0.0000 2.7623 0.0000 0.0000 0.0000 4.7769" Properties=species:S:1:pos:R:3 pbc="T T T"
Ti 1.1726 0.0000 0.8519
Ti 3.4061 0.0000 2.6294
Ti 5.6397 0.0000 0.8519
Ti 7.9848 0.0000 3.9250
Ti 10.2184 0.0000 2.1475
Ti 12.4520 0.0000 3.9250
Pt 1.1166 1.3811 3.2401
Pt 3.4061 1.3811 0.1924
Pt 5.6957 1.3811 3.2401
Pt 7.9288 1.3811 1.5369
Pt 10.2184 1.3811 4.5845
Pt 12.5079 1.3811 1.5369
```

Computed properties:
* magnetization: 0.000 μB per atom
* E_form: -0.93 eV/atom
* energy: -8.57 eV per atom



5.
A relaxed structure of Ti3Pt, computed with PBEsol.

```
8
Lattice="4.9753 0.0000 0.0000 0.0000 4.9753 0.0000 0.0000 0.0000 4.9753" Properties=species:S:1:pos:R:3 pbc="T T T"
Ti 0.0000 1.2438 2.4877
Ti 0.0000 3.7315 2.4877
Ti 1.2438 2.4877 0.0000
Ti 2.4877 0.0000 1.2438
Ti 2.4877 0.0000 3.7315
Ti 3.7315 2.4877 0.0000
Pt 0.0000 0.0000 0.0000
Pt 2.4877 2.4877 2.4877
```

Computed properties:
* magnetization: 0.000 μB per atom
* E_form: -0.66 eV/atom
* energy: -8.65 eV per atom



6.
A relaxed structure of Ti3TlPt, computed with PBEsol.

```
5
Lattice="4.9041 0.0000 0.0000 0.0000 4.9041 0.0000 0.0000 0.0000 4.9041" Properties=species:S:1:pos:R:3 pbc="T T T"
Ti 0.0000 0.0000 2.4521
Ti 0.0000 2.4521 0.0000
Ti 2.4521 0.0000 0.0000
Tl 0.0000 0.0000 0.0000
Pt 2.4521 2.4521 2.4521
```

Computed properties:
* magnetization: 0.676 μB per atom
* E_form: 1.44 eV/atom
* energy: -5.47 eV per atom



7.
A relaxed structure of TiPt3W, computed with PBEsol.

```
5
Lattice="4.5406 0.0000 0.0000 0.0000 4.5406 0.0000 0.0000 0.0000 4.5406" Properties=species:S:1:pos:R:3 pbc="T T T"
Ti 0.0000 0.0000 0.0000
Pt 0.0000 0.0000 2.2703
Pt 0.0000 2.2703 0.0000
Pt 2.2703 0.0000 0.0000
W 2.2703 2.2703 2.2703
```

Computed properties:
* magnetization: 0.472 μB per atom
* E_form: 1.24 eV/atom
* energy: -7.37 eV per atom



8.
A relaxed structure of YTi3Pt, computed with PBEsol.

```
5
Lattice="4.8134 0.0000 0.0000 0.0000 4.8134 0.0000 0.0000 0.0000 4.8134" Properties=species:S:1:pos:R:3 pbc="T T T"
Y 0.0000 0.0000 0.0000
Ti 0.0000 2.4067 2.4067
Ti 2.4067 0.0000 2.4067
Ti 2.4067 2.4067 0.0000
Pt 2.4067 2.4067 2.4067
```

Computed properties:
* magnetization: 0.002 μB per atom
* E_form: 0.17 eV/atom
* energy: -7.58 eV per atom